## Pa2P2N (PBE-GGA)

Data for crystalline Pa2P2N at its relaxed geometry.

a b c (Å): 8.127 7.009 6.780
angles (deg): 90.00 95.04 90.00
Space group P2_1/c (No. 14)
Inequivalent atoms, fractional coordinates:
Pa 0.096 0.112 0.298 x4
Pa 0.358 0.560 0.247 x4
P 0.158 0.678 0.528 x4
P 0.414 0.245 0.484 x4
N 0.115 0.089 0.653 x4

## Properties
D(E_F): 14.6 states/eV/cell
formation energy from raw total energies: -1.32 eV/atom
electronic total energy: -0.657 Ry per atom